Entry A
The following is a DFT calculation (PBE with a Hubbard U) of an optimized crystal structure of KLaCr2O8.

Density of states at the Fermi level, states/eV per cell: 0.0
Symmetry: P2_1/c

Cell and atoms, written as POSCAR:
```
KLaCr2O8
1.0
8.931 0.000 0.000
0.000 7.591 0.000
-0.502 0.000 11.152
K La Cr O
4 4 8 32
Direct
0.067 0.152 0.340 K
0.067 0.348 0.840 K
0.933 0.652 0.160 K
0.933 0.848 0.660 K
0.441 0.663 0.655 La
0.441 0.837 0.155 La
0.559 0.163 0.845 La
0.559 0.337 0.345 La
0.221 0.665 0.411 Cr
0.221 0.835 0.911 Cr
0.311 0.163 0.607 Cr
0.311 0.337 0.107 Cr
0.689 0.663 0.893 Cr
0.689 0.837 0.393 Cr
0.779 0.165 0.089 Cr
0.779 0.335 0.589 Cr
0.088 0.528 0.369 O
0.088 0.972 0.869 O
0.130 0.133 0.605 O
0.130 0.367 0.105 O
0.195 0.747 0.045 O
0.195 0.753 0.545 O
0.245 0.680 0.807 O
0.245 0.820 0.307 O
0.358 0.159 0.191 O
0.358 0.341 0.691 O
0.365 0.187 0.467 O
0.365 0.313 0.967 O
0.384 0.558 0.439 O
0.384 0.942 0.939 O
0.406 0.502 0.178 O
0.406 0.998 0.678 O
0.594 0.002 0.322 O
0.594 0.498 0.822 O
0.616 0.058 0.061 O
0.616 0.442 0.561 O
0.635 0.687 0.033 O
0.635 0.813 0.533 O
0.642 0.659 0.309 O
0.642 0.841 0.809 O
0.755 0.180 0.693 O
0.755 0.320 0.193 O
0.805 0.247 0.455 O
0.805 0.253 0.955 O
0.870 0.633 0.895 O
0.870 0.867 0.395 O
0.912 0.028 0.131 O
0.912 0.472 0.631 O
```

***

Entry B
The following is a DFT calculation (PBE with a Hubbard U) of an optimized crystal structure of KLaCr2O8.

Density of states at the Fermi level, states/eV per cell: 0.0
Symmetry: P-3m1

Cell and atoms, written as POSCAR:
```
KLaCr2O8
1.0
5.890 0.000 0.000
-2.945 5.101 0.000
0.000 0.000 7.862
K La Cr O
1 1 2 8
Direct
0.000 0.000 0.000 K
0.000 0.000 0.500 La
0.333 0.667 0.769 Cr
0.667 0.333 0.231 Cr
0.178 0.355 0.698 O
0.178 0.822 0.698 O
0.333 0.667 0.975 O
0.355 0.178 0.302 O
0.645 0.822 0.698 O
0.667 0.333 0.025 O
0.822 0.178 0.302 O
0.822 0.645 0.302 O
```

***

The energetic minimum among the shown structures is entry A; the next structure lies 25 meV/atom above.